HoNiF5: relaxed, GGA+U.

Results
VASP energy: -5.642 eV/atom
SG: No. 15

Cell lengths 5.5720, 5.5720, 7.5371 Å; angles 109.54, 109.54, 72.55 degrees
With the nearest neighbours (Å) after each atom.
Atoms (fractional coordinates):
Ho (0.0542, 0.9458, 0.7500)  7 F 2.13-2.36
Ho (0.9458, 0.0542, 0.2500)  7 F 2.13-2.36
Ni (0.5000, 0.5000, 0.0000)  6 F 1.98-2.08
Ni (0.5000, 0.5000, 0.5000)  6 F 1.98-2.08
F (0.1788, 0.8017, 0.0352)  1 Ni 2.08, 1 Ho 2.25
F (0.1983, 0.8212, 0.4648)  1 Ni 2.08, 1 Ho 2.25
F (0.2340, 0.2842, 0.3755)  1 Ni 1.98, 1 Ho 2.13
F (0.2842, 0.2340, 0.8755)  1 Ni 1.98, 1 Ho 2.13
F (0.3946, 0.6054, 0.7500)  2 Ni 2.01, 1 Ho 2.24
F (0.6054, 0.3946, 0.2500)  2 Ni 2.01, 1 Ho 2.24
F (0.7158, 0.7660, 0.1245)  1 Ni 1.98, 1 Ho 2.13
F (0.7660, 0.7158, 0.6245)  1 Ni 1.98, 1 Ho 2.13
F (0.8017, 0.1788, 0.5352)  1 Ni 2.08, 1 Ho 2.25
F (0.8212, 0.1983, 0.9648)  1 Ni 2.08, 1 Ho 2.25